# 1
Entry from Alexandria via LeMat-Bulk: crystalline YSI2N at its relaxed geometry (PBE-GGA).

Values from the calculation:
- Mass density: 4.9 g/cm3
- Energy above the lowest structure with this stoichiometry: 72.8 meV/atom
- Formation energy without anion corrections: 369 meV/atom

The structure in CIF format:
```
data_YSI2N
_chemical_formula_sum 'Y1 S1 I2 N1'
_cell_length_a 6.091
_cell_length_b 6.091
_cell_length_c 3.519
_cell_angle_alpha 90.00
_cell_angle_beta 90.00
_cell_angle_gamma 90.00
_space_group_name_H-M_alt 'P 4/m m m'
_space_group_IT_number 123
_space_group_name_Hall '-P 4 2'
loop_
_atom_site_label
_atom_site_fract_x
_atom_site_fract_y
_atom_site_fract_z
Y1 0.000 0.000 0.000
S1 0.500 0.500 0.500
I1 0.000 0.500 0.500
N1 0.500 0.500 0.000
```

# 2
Entry from Alexandria via LeMat-Bulk: crystalline Pm2Sm5Er at its relaxed geometry (PBE-GGA).

Values from the calculation:
- Mass density: 7.3 g/cm3
- Energy above the lowest structure with this stoichiometry: 112.6 meV/atom
- Formation enthalpy at 0 K: 2.9 kcal/mol of atoms

The structure in CIF format:
```
data_Pm2Sm5Er
_chemical_formula_sum 'Pm8 Sm20 Er4'
_cell_length_a 5.632
_cell_length_b 11.973
_cell_length_c 16.282
_cell_angle_alpha 90.00
_cell_angle_beta 90.00
_cell_angle_gamma 90.00
_space_group_name_H-M_alt 'C m c m'
_space_group_IT_number 63
_space_group_name_Hall '-C 2c 2'
loop_
_atom_site_label
_atom_site_fract_x
_atom_site_fract_y
_atom_site_fract_z
Pm1 0.000 0.222 0.130
Sm1 0.000 0.078 0.591
Sm2 0.000 0.383 0.552
Sm3 0.000 0.460 0.250
Er1 0.000 0.261 0.750
```

# 3
Entry from Alexandria via LeMat-Bulk: crystalline GePPd3 at its relaxed geometry (PBE-GGA).

Values from the calculation:
- Mass density: 8.7 g/cm3
- Energy above the lowest structure with this stoichiometry: 0.0 meV/atom
- Formation enthalpy at 0 K: -7.7 kcal/mol of atoms

The structure in CIF format:
```
data_GePPd3
_chemical_formula_sum 'Ge4 P4 Pd12'
_cell_length_a 7.635
_cell_length_b 13.731
_cell_length_c 3.078
_cell_angle_alpha 90.00
_cell_angle_beta 90.00
_cell_angle_gamma 90.00
_space_group_name_H-M_alt 'C m m m'
_space_group_IT_number 65
_space_group_name_Hall '-C 2 2'
loop_
_atom_site_label
_atom_site_fract_x
_atom_site_fract_y
_atom_site_fract_z
Ge1 0.000 0.000 0.000
Ge2 0.000 0.500 0.500
P1 0.250 0.250 0.000
Pd1 0.000 0.348 0.000
Pd2 0.194 0.108 0.500
```

# 4
Entry from Alexandria via LeMat-Bulk: crystalline Ba3Sr5Ca2 at its relaxed geometry (PBE-GGA).

Values from the calculation:
- Mass density: 2.7 g/cm3
- Energy above the lowest structure with this stoichiometry: 0.0 meV/atom
- Formation enthalpy at 0 K: 3.7 kcal/mol of atoms

The structure in CIF format:
```
data_Ba3Sr5Ca2
_chemical_formula_sum 'Ba12 Sr20 Ca8'
_cell_length_a 14.615
_cell_length_b 20.690
_cell_length_c 7.437
_cell_angle_alpha 90.00
_cell_angle_beta 90.00
_cell_angle_gamma 90.00
_space_group_name_H-M_alt 'I b a m'
_space_group_IT_number 72
_space_group_name_Hall '-I 2 2c'
loop_
_atom_site_label
_atom_site_fract_x
_atom_site_fract_y
_atom_site_fract_z
Ba1 0.000 0.000 0.250
Ba2 0.096 0.175 0.000
Sr1 0.000 0.500 0.250
Sr2 0.102 0.334 0.500
Sr3 0.249 0.500 0.250
Ca1 0.242 0.167 0.500
```